La2InHPt6 | PBE-GGA | optimized geometry

Cell lengths 7.3275, 7.3275, 7.3275 Å; angles 46.50, 46.50, 46.50 degrees
Last column: nearest neighbours and their distance in Å.
Fractional coordinates of all 10 atoms:
La  0.2279  0.2279  0.2279  6 Pt 3.03
La  0.7721  0.7721  0.7721  6 Pt 3.03
In  0.5000  0.5000  0.5000  6 Pt 2.68
H  0.0000  0.0000  0.0000  6 Pt 2.03
Pt  0.2262  0.2262  0.7253  1 H 2.03
Pt  0.2262  0.7253  0.2262  1 H 2.03
Pt  0.2747  0.7738  0.7738  1 H 2.03
Pt  0.7253  0.2262  0.2262  1 H 2.03
Pt  0.7738  0.2747  0.7738  1 H 2.03
Pt  0.7738  0.7738  0.2747  1 H 2.03

**SG**: R-3m
**E_tot**: -0.2187 Ha/atom
**Total magnetization**: 0.00 μB per cell
**N(E_F)**: 5.18 states/eV/cell
**Crystal system**: trigonal
**Calculated volume**: 189.0 Å³ per cell

***

PaMoC2 | PBE-GGA | optimized geometry

Cell lengths 3.3018, 3.3018, 16.4461 Å; angles 90.00, 90.00, 120.00 degrees
Last column: nearest neighbours and their distance in Å.
Fractional coordinates of all 12 atoms:
Pa  0.0000  0.0000  0.0000  6 C 2.46
Pa  0.3333  0.6667  0.6667  6 C 2.46
Pa  0.6667  0.3333  0.3333  6 C 2.46
Mo  0.0000  0.0000  0.5000  6 C 2.25
Mo  0.3333  0.6667  0.1667  6 C 2.25
Mo  0.6667  0.3333  0.8333  6 C 2.25
C  0.0000  0.0000  0.2393  3 Mo 2.25, 3 Pa 2.46
C  0.0000  0.0000  0.7607  3 Mo 2.25, 3 Pa 2.46
C  0.3333  0.6667  0.4274  3 Mo 2.25, 3 Pa 2.46
C  0.3333  0.6667  0.9059  3 Mo 2.25, 3 Pa 2.46
C  0.6667  0.3333  0.0941  3 Mo 2.25, 3 Pa 2.46
C  0.6667  0.3333  0.5726  3 Mo 2.25, 3 Pa 2.46

**SG**: R-3m
**Formation energy from the elements**: -0.263 eV per atom
**E_tot**: -0.3659 Ha/atom
**Total magnetization**: 0.00 μB per cell
**N(E_F)**: 4.65 states/eV/cell
**Crystal system**: trigonal
**Calculated volume**: 155.3 Å³ per cell

***

Ce2TlH | PBE-GGA | optimized geometry

Cell lengths 3.4326, 3.4326, 25.7770 Å; angles 90.00, 90.00, 120.00 degrees
Last column: nearest neighbours and their distance in Å.
Fractional coordinates of all 12 atoms:
Ce  0.0000  0.0000  0.2256  3 H 2.50
Ce  0.0000  0.0000  0.7744  3 H 2.50
Ce  0.3333  0.6667  0.4411  3 H 2.50
Ce  0.3333  0.6667  0.8922  3 H 2.50
Ce  0.6667  0.3333  0.1078  3 H 2.50
Ce  0.6667  0.3333  0.5589  3 H 2.50
Tl  0.0000  0.0000  0.0000  6 Ce 3.41, 6 Tl 3.43
Tl  0.3333  0.6667  0.6667  6 Ce 3.41, 6 Tl 3.43
Tl  0.6667  0.3333  0.3333  6 Ce 3.41, 6 Tl 3.43
H  0.0000  0.0000  0.5000  6 Ce 2.50
H  0.3333  0.6667  0.1667  6 Ce 2.50
H  0.6667  0.3333  0.8333  6 Ce 2.50

**SG**: R-3m
**E_tot**: -0.1696 Ha/atom
**Total magnetization**: 3.62 μB per cell
**N(E_F)**: 23.84 states/eV/cell
**Crystal system**: trigonal
**Calculated volume**: 263.0 Å³ per cell

***

SmAlGaNi | PBE-GGA | optimized geometry

Cell lengths 4.1072, 4.1072, 15.7915 Å; angles 90.00, 90.00, 120.00 degrees
Last column: nearest neighbours and their distance in Å.
Fractional coordinates of all 12 atoms:
Sm  0.0000  0.0000  0.0000  4 Ga 3.07-3.32, 4 Al 3.11-3.25
Sm  0.3333  0.6667  0.6667  4 Ga 3.07-3.32, 4 Al 3.11-3.25
Sm  0.6667  0.3333  0.3333  4 Ga 3.07-3.32, 4 Al 3.11-3.25
Al  0.0000  0.0000  0.7944  3 Ni 2.44, 3 Ga 2.71
Al  0.3333  0.6667  0.4611  3 Ni 2.44, 3 Ga 2.71
Al  0.6667  0.3333  0.1277  3 Ni 2.44, 3 Ga 2.71
Ga  0.0000  0.0000  0.2103  3 Ni 2.47, 3 Al 2.71
Ga  0.3333  0.6667  0.8770  3 Ni 2.47, 3 Al 2.71
Ga  0.6667  0.3333  0.5437  3 Ni 2.47, 3 Al 2.71
Ni  0.0000  0.0000  0.4988  3 Al 2.44, 3 Ga 2.47
Ni  0.3333  0.6667  0.1654  3 Al 2.44, 3 Ga 2.47
Ni  0.6667  0.3333  0.8321  3 Al 2.44, 3 Ga 2.47

**SG**: R3m
**Formation energy from the elements**: -0.549 eV per atom
**E_tot**: -0.1788 Ha/atom
**Total magnetization**: 0.00 μB per cell
**N(E_F)**: 7.81 states/eV/cell
**Crystal system**: trigonal
**Calculated volume**: 230.7 Å³ per cell

***

Pr5ErAg6 | PBE-GGA | optimized geometry

Cell lengths 5.3257, 7.4492, 8.4245 Å; angles 90.00, 107.96, 90.00 degrees
Last column: nearest neighbours and their distance in Å.
Fractional coordinates of all 12 atoms:
Pr  0.0000  0.0000  0.0000  8 Ag 3.22-3.30
Pr  0.3307  0.0000  0.6619  8 Ag 3.29-3.34
Pr  0.3345  0.5000  0.6687  8 Ag 3.19-3.31
Pr  0.6655  0.5000  0.3313  8 Ag 3.19-3.31
Pr  0.6693  0.0000  0.3381  8 Ag 3.29-3.34
Er  0.0000  0.5000  0.0000  8 Ag 3.15-3.20
Ag  0.1612  0.2582  0.3219  1 Er 3.15, 7 Pr 3.21-3.34
Ag  0.1612  0.7418  0.3219  1 Er 3.15, 7 Pr 3.21-3.34
Ag  0.5000  0.2619  0.0000  6 Pr 3.19-3.34, 2 Er 3.20, 1 Ag 3.55
Ag  0.5000  0.7381  0.0000  6 Pr 3.19-3.34, 2 Er 3.20, 1 Ag 3.55
Ag  0.8388  0.2582  0.6781  1 Er 3.15, 7 Pr 3.21-3.34
Ag  0.8388  0.7418  0.6781  1 Er 3.15, 7 Pr 3.21-3.34

**SG**: P2/m
**Formation energy from the elements**: -0.256 eV per atom
**E_tot**: -0.1489 Ha/atom
**Total magnetization**: 0.00 μB per cell
**N(E_F)**: 10.14 states/eV/cell
**Crystal system**: monoclinic
**Calculated volume**: 317.9 Å³ per cell

***

LaAs2IBr | PBE-GGA | optimized geometry

Cell lengths 5.9992, 5.9992, 5.6960 Å; angles 90.00, 90.00, 90.00 degrees
Last column: nearest neighbours and their distance in Å.
Fractional coordinates of all 5 atoms:
La  0.0000  0.0000  0.0000  2 Br 2.85, 4 As 3.00
As  0.0000  0.5000  0.0000  2 La 3.00
As  0.5000  0.0000  0.0000  2 La 3.00
I  0.5000  0.5000  0.5000  8 As 4.14, 4 Br 4.24
Br  0.0000  0.0000  0.5000  2 La 2.85

**SG**: P4/mmm
**Raw formation energy**: 0.00 eV/atom
**E_tot**: -0.1282 Ha/atom
**Total magnetization**: 2.04 μB per cell
**N(E_F)**: 5.47 states/eV/cell
**Crystal system**: tetragonal
**Calculated volume**: 205.0 Å³ per cell

***

Nd4NiGe3 | PBE-GGA | optimized geometry

Cell lengths 4.1479, 4.3337, 11.0386 Å; angles 90.00, 90.00, 90.00 degrees
Last column: nearest neighbours and their distance in Å.
Fractional coordinates of all 8 atoms:
Nd  0.0000  0.0000  0.0000  6 Ge 3.09-3.32, 1 Ni 3.19
Nd  0.0000  0.5000  0.4861  2 Ni 3.07, 5 Ge 3.08-3.16
Nd  0.5000  0.0000  0.7120  7 Ge 3.07-3.26
Nd  0.5000  0.5000  0.2187  4 Ni 3.10, 3 Ge 3.13-3.15
Ni  0.0000  0.0000  0.2886  2 Ge 2.55
Ge  0.0000  0.5000  0.7725  2 Ge 2.73
Ge  0.5000  0.0000  0.4229  2 Ni 2.55
Ge  0.5000  0.5000  0.9331  2 Ge 2.73

**SG**: Pmm2
**Formation energy from the elements**: -0.691 eV per atom
**E_tot**: -0.2032 Ha/atom
**Total magnetization**: 0.00 μB per cell
**N(E_F)**: 8.53 states/eV/cell
**Crystal system**: orthorhombic
**Calculated volume**: 198.4 Å³ per cell

***

AlAu3C | PBE-GGA | optimized geometry

Cell lengths 4.8287, 4.8287, 4.8287 Å; angles 90.00, 90.00, 90.00 degrees
Last column: nearest neighbours and their distance in Å.
Fractional coordinates of all 5 atoms:
Al  0.0000  0.0000  0.0000  6 Au 2.41
Au  0.0000  0.0000  0.5000  2 Al 2.41
Au  0.0000  0.5000  0.0000  2 Al 2.41
Au  0.5000  0.0000  0.0000  2 Al 2.41
C  0.5000  0.5000  0.5000  12 Au 3.41

**SG**: Pm-3m
**Formation energy from the elements**: 1.672 eV per atom
**E_tot**: -0.1061 Ha/atom
**Total magnetization**: 1.26 μB per cell
**N(E_F)**: 4.23 states/eV/cell
**Crystal system**: cubic
**Calculated volume**: 112.6 Å³ per cell

***

Number 2 is which compound? PaMoC2

***

Copy entry 2 word for word.
PaMoC2 | PBE-GGA | optimized geometry

Cell lengths 3.3018, 3.3018, 16.4461 Å; angles 90.00, 90.00, 120.00 degrees
Last column: nearest neighbours and their distance in Å.
Fractional coordinates of all 12 atoms:
Pa  0.0000  0.0000  0.0000  6 C 2.46
Pa  0.3333  0.6667  0.6667  6 C 2.46
Pa  0.6667  0.3333  0.3333  6 C 2.46
Mo  0.0000  0.0000  0.5000  6 C 2.25
Mo  0.3333  0.6667  0.1667  6 C 2.25
Mo  0.6667  0.3333  0.8333  6 C 2.25
C  0.0000  0.0000  0.2393  3 Mo 2.25, 3 Pa 2.46
C  0.0000  0.0000  0.7607  3 Mo 2.25, 3 Pa 2.46
C  0.3333  0.6667  0.4274  3 Mo 2.25, 3 Pa 2.46
C  0.3333  0.6667  0.9059  3 Mo 2.25, 3 Pa 2.46
C  0.6667  0.3333  0.0941  3 Mo 2.25, 3 Pa 2.46
C  0.6667  0.3333  0.5726  3 Mo 2.25, 3 Pa 2.46

**SG**: R-3m
**Formation energy from the elements**: -0.263 eV per atom
**E_tot**: -0.3659 Ha/atom
**Total magnetization**: 0.00 μB per cell
**N(E_F)**: 4.65 states/eV/cell
**Crystal system**: trigonal
**Calculated volume**: 155.3 Å³ per cell

***

Copy entry 4 word for word.
SmAlGaNi | PBE-GGA | optimized geometry

Cell lengths 4.1072, 4.1072, 15.7915 Å; angles 90.00, 90.00, 120.00 degrees
Last column: nearest neighbours and their distance in Å.
Fractional coordinates of all 12 atoms:
Sm  0.0000  0.0000  0.0000  4 Ga 3.07-3.32, 4 Al 3.11-3.25
Sm  0.3333  0.6667  0.6667  4 Ga 3.07-3.32, 4 Al 3.11-3.25
Sm  0.6667  0.3333  0.3333  4 Ga 3.07-3.32, 4 Al 3.11-3.25
Al  0.0000  0.0000  0.7944  3 Ni 2.44, 3 Ga 2.71
Al  0.3333  0.6667  0.4611  3 Ni 2.44, 3 Ga 2.71
Al  0.6667  0.3333  0.1277  3 Ni 2.44, 3 Ga 2.71
Ga  0.0000  0.0000  0.2103  3 Ni 2.47, 3 Al 2.71
Ga  0.3333  0.6667  0.8770  3 Ni 2.47, 3 Al 2.71
Ga  0.6667  0.3333  0.5437  3 Ni 2.47, 3 Al 2.71
Ni  0.0000  0.0000  0.4988  3 Al 2.44, 3 Ga 2.47
Ni  0.3333  0.6667  0.1654  3 Al 2.44, 3 Ga 2.47
Ni  0.6667  0.3333  0.8321  3 Al 2.44, 3 Ga 2.47

**SG**: R3m
**Formation energy from the elements**: -0.549 eV per atom
**E_tot**: -0.1788 Ha/atom
**Total magnetization**: 0.00 μB per cell
**N(E_F)**: 7.81 states/eV/cell
**Crystal system**: trigonal
**Calculated volume**: 230.7 Å³ per cell

***

What is the total magnetization in the fourth record? 0.00 μB per cell